Arrangement w

Density functional theory data (PBE-GGA) for crystalline Ni6MoPt at its relaxed geometry.

Output
- Fermi-level density of states (states/eV per atom) = 1.249
- total moment (μB/f.u.) = 0.0

Cell: 7.260 10.297 10.339 Å, 90.00 90.00 90.00°
Space group Cmmm (No. 65)
One atom of each set of equivalent atoms:
Ni 0.000 0.000 0.000 x2
Ni 0.000 0.000 0.500 x2
Ni 0.000 0.247 0.244 x8
Ni 0.000 0.500 0.000 x2
Ni 0.000 0.500 0.500 x2
Ni 0.245 0.124 0.372 x16
Ni 0.248 0.126 0.122 x16
Mo 0.000 0.000 0.255 x4
Mo 0.000 0.246 0.000 x4
Pt 0.000 0.251 0.500 x4
Pt 0.000 0.500 0.252 x4

---

Arrangement x

Density functional theory data (PBE-GGA) for crystalline Ni6MoPt at its relaxed geometry.

Output
- Fermi-level density of states (states/eV per atom) = 0.956
- total moment (μB/f.u.) = 0.0

Cell: 5.273 7.140 10.263 Å, 90.00 90.00 90.00°
Space group Fmmm (No. 69)
One atom of each set of equivalent atoms:
Ni 0.000 0.000 0.247 x8
Ni 0.250 0.250 0.130 x16
Mo 0.000 0.000 0.000 x4
Pt 0.000 0.000 0.500 x4

---

Of them, arrangement w has the lowest stability.

---

Arrangement w

Density functional theory data (PBE-GGA) for crystalline NiMoPt6 at its relaxed geometry.

Output
- Fermi-level density of states (states/eV per atom) = 1.200
- total moment (μB/f.u.) = 0.9

Cell: 3.938 3.938 7.802 Å, 90.00 90.00 90.00°
Space group P4/mmm (No. 123)
One atom of each set of equivalent atoms:
Ni 0.000 0.000 0.000 x1
Mo 0.000 0.000 0.500 x1
Pt 0.000 0.500 0.250 x4
Pt 0.500 0.500 0.000 x1
Pt 0.500 0.500 0.500 x1

---

Arrangement x

Density functional theory data (PBE-GGA) for crystalline NiMoPt6 at its relaxed geometry.

Output
- Fermi-level density of states (states/eV per atom) = 1.121
- total moment (μB/f.u.) = 0.7

Cell: 8.836 3.904 7.832 Å, 90.00 116.40 90.00°
Space group C2/m (No. 12)
One atom of each set of equivalent atoms:
Ni 0.000 0.000 0.000 x2
Mo 0.000 0.000 0.500 x2
Pt 0.002 0.500 0.748 x4
Pt 0.248 0.500 0.123 x4
Pt 0.250 0.000 0.375 x4

---

Of them, arrangement w has the lowest stability.

---

Arrangement w

Density functional theory data (PBE-GGA) for crystalline Ni5Mo2Pt2 at its relaxed geometry.

Output
- Fermi-level density of states (states/eV per atom) = 1.090
- total moment (μB/f.u.) = 0.0

Cell: 11.187 3.760 5.902 Å, 90.00 108.92 90.00°
Space group C2/m (No. 12)
One atom of each set of equivalent atoms:
Ni 0.000 0.000 0.000 x2
Ni 0.163 0.500 0.007 x4
Ni 0.218 0.000 0.331 x4
Mo 0.063 0.500 0.323 x4
Pt 0.115 0.000 0.675 x4

---

Arrangement x

Density functional theory data (PBE-GGA) for crystalline Ni5Mo2Pt2 at its relaxed geometry.

Output
- Fermi-level density of states (states/eV per atom) = 1.229
- total moment (μB/f.u.) = 0.0

Cell: 10.887 9.271 4.710 Å, 90.00 90.00 90.00°
Space group Ima2 (No. 46)
One atom of each set of equivalent atoms:
Ni 0.054 0.248 0.000 x8
Ni 0.147 0.705 0.248 x8
Ni 0.250 0.179 0.250 x4
Mo 0.117 0.541 0.748 x8
Pt 0.000 0.000 0.747 x4
Pt 0.250 0.053 0.749 x4

---

Of them, arrangement x has the lowest stability.

---

Arrangement w

Density functional theory data (PBE-GGA) for crystalline Ni2MoPt5 at its relaxed geometry.

Output
- Fermi-level density of states (states/eV per atom) = 1.182
- total moment (μB/f.u.) = 0.0

Cell: 5.490 11.035 3.851 Å, 90.00 90.00 90.00°
Space group Pbam (No. 55)
One atom of each set of equivalent atoms:
Ni 0.246 0.121 0.000 x4
Mo 0.000 0.000 0.500 x2
Pt 0.000 0.500 0.500 x2
Pt 0.005 0.243 0.500 x4
Pt 0.247 0.880 0.000 x4

---

Arrangement x

Density functional theory data (PBE-GGA) for crystalline Ni2MoPt5 at its relaxed geometry.

Output
- Fermi-level density of states (states/eV per atom) = 1.166
- total moment (μB/f.u.) = 0.0

Cell: 6.581 6.581 10.972 Å, 90.00 90.00 90.00°
Space group I4/mcm (No. 140)
One atom of each set of equivalent atoms:
Ni 0.136 0.364 0.000 x8
Mo 0.000 0.000 0.250 x4
Pt 0.000 0.000 0.000 x4
Pt 0.157 0.343 0.343 x16

---

Of them, arrangement x has the lowest stability.

---

Arrangement w

Density functional theory data (PBE-GGA) for crystalline Ni3Mo2Pt2 at its relaxed geometry.

Output
- Fermi-level density of states (states/eV per atom) = 1.014
- total moment (μB/f.u.) = 0.0

Cell: 8.661 3.750 5.988 Å, 90.00 98.49 90.00°
Space group C2/m (No. 12)
One atom of each set of equivalent atoms:
Ni 0.000 0.000 0.000 x2
Ni 0.208 0.500 0.140 x4
Mo 0.150 0.000 0.412 x4
Pt 0.073 0.500 0.727 x4

---

Arrangement x

Density functional theory data (PBE-GGA) for crystalline Ni3Mo2Pt2 at its relaxed geometry.

Output
- Fermi-level density of states (states/eV per atom) = 1.132
- total moment (μB/f.u.) = 0.0

Cell: 8.468 3.717 6.148 Å, 90.00 98.46 90.00°
Space group C2/m (No. 12)
One atom of each set of equivalent atoms:
Ni 0.000 0.000 0.000 x2
Ni 0.072 0.500 0.737 x4
Mo 0.213 0.500 0.144 x4
Pt 0.138 0.000 0.423 x4

---

Of them, arrangement w has the lowest stability.

---

Arrangement w

Density functional theory data (PBE-GGA) for crystalline Ni3MoPt2 at its relaxed geometry.

Output
- Fermi-level density of states (states/eV per atom) = 1.306
- total moment (μB/f.u.) = 0.0

Cell: 11.633 3.880 8.059 Å, 90.00 118.78 90.00°
Space group C2/m (No. 12)
One atom of each set of equivalent atoms:
Ni 0.051 0.000 0.391 x4
Ni 0.121 0.500 0.614 x4
Ni 0.210 0.500 0.390 x4
Mo 0.133 0.000 0.145 x4
Pt 0.032 0.500 0.859 x4
Pt 0.205 0.000 0.857 x4

---

Arrangement x

Density functional theory data (PBE-GGA) for crystalline Ni3MoPt2 at its relaxed geometry.

Output
- Fermi-level density of states (states/eV per atom) = 1.280
- total moment (μB/f.u.) = 0.0

Cell: 5.276 8.316 14.660 Å, 90.00 90.00 90.00°
Space group Fmmm (No. 69)
One atom of each set of equivalent atoms:
Ni 0.000 0.000 0.165 x8
Ni 0.000 0.247 0.082 x16
Mo 0.000 0.000 0.335 x8
Pt 0.250 0.000 0.000 x8
Pt 0.250 0.250 0.250 x8

---

Of them, arrangement x has the lowest stability.

---

Arrangement w

Density functional theory data (PBE-GGA) for crystalline Ni2MoPt6 at its relaxed geometry.

Output
- Fermi-level density of states (states/eV per atom) = 1.038
- total moment (μB/f.u.) = 0.0

Cell: 8.705 3.864 8.275 Å, 90.00 108.55 90.00°
Space group C2/m (No. 12)
One atom of each set of equivalent atoms:
Ni 0.159 0.000 0.214 x4
Mo 0.000 0.500 0.000 x2
Pt 0.002 0.500 0.678 x4
Pt 0.166 0.000 0.894 x4
Pt 0.168 0.000 0.556 x4

---

Arrangement x

Density functional theory data (PBE-GGA) for crystalline Ni2MoPt6 at its relaxed geometry.

Output
- Fermi-level density of states (states/eV per atom) = 1.209
- total moment (μB/f.u.) = 1.1

Cell: 9.614 11.389 5.016 Å, 90.00 99.70 90.00°
Space group C2/c (No. 15)
One atom of each set of equivalent atoms:
Ni 0.120 0.014 0.365 x8
Mo 0.000 0.398 0.250 x4
Pt 0.056 0.194 0.027 x8
Pt 0.145 0.404 0.798 x8
Pt 0.238 0.167 0.677 x8

---

Of them, arrangement x has the lowest stability.

---

Arrangement w

Density functional theory data (PBE-GGA) for crystalline Ni4Mo2Pt3 at its relaxed geometry.

Output
- Fermi-level density of states (states/eV per atom) = 1.114
- total moment (μB/f.u.) = 0.0

Cell: 12.088 9.089 4.605 Å, 90.00 99.56 90.00°
Space group C2/c (No. 15)
One atom of each set of equivalent atoms:
Ni 0.051 0.144 0.024 x8
Ni 0.116 0.365 0.309 x8
Mo 0.220 0.361 0.847 x8
Pt 0.000 0.398 0.750 x4
Pt 0.160 0.104 0.580 x8

---

Arrangement x

Density functional theory data (PBE-GGA) for crystalline Ni4Mo2Pt3 at its relaxed geometry.

Output
- Fermi-level density of states (states/eV per atom) = 1.306
- total moment (μB/f.u.) = 0.0

Cell: 4.682 6.935 8.254 Å, 72.21 74.83 88.69°
Space group P-1 (No. 2)
One atom of each set of equivalent atoms:
Ni 0.018 0.089 0.327 x2
Ni 0.101 0.859 0.112 x2
Ni 0.330 0.415 0.664 x2
Ni 0.448 0.197 0.441 x2
Mo 0.228 0.477 0.231 x2
Mo 0.342 0.240 0.992 x2
Pt 0.112 0.702 0.445 x2
Pt 0.218 0.634 0.888 x2
Pt 0.429 0.028 0.773 x2

---

Of them, arrangement w has the lowest stability.

---

Arrangement w

Density functional theory data (PBE-GGA) for crystalline Ni3MoPt at its relaxed geometry.

Output
- Fermi-level density of states (states/eV per atom) = 0.866
- total moment (μB/f.u.) = 0.0

Cell: 4.388 4.388 4.388 Å, 90.00 90.00 90.00°
Space group Pm-3m (No. 221)
One atom of each set of equivalent atoms:
Ni 0.000 0.000 0.500 x3
Mo 0.000 0.000 0.000 x1
Pt 0.500 0.500 0.500 x1

---

Arrangement x

Density functional theory data (PBE-GGA) for crystalline Ni3MoPt at its relaxed geometry.

Output
- Fermi-level density of states (states/eV per atom) = 1.514
- total moment (μB/f.u.) = 0.0

Cell: 4.609 5.254 5.826 Å, 77.39 75.18 72.52°
Space group P-1 (No. 2)
One atom of each set of equivalent atoms:
Ni 0.097 0.155 0.288 x2
Ni 0.300 0.452 0.904 x2
Ni 0.310 0.942 0.905 x2
Mo 0.484 0.760 0.511 x2
Pt 0.090 0.663 0.293 x2

---

Of them, arrangement w has the lowest stability.